This record from Alexandria describes a geometry-optimized NpZnP2 structure. The functional is PBE-GGA.

## Properties
Formation energy from the elements in meV per atom: -452.6
ΔE to the lowest computed polymorph in eV/atom: 0.000
Uncorrected energy in eV for the cell shown: -26.84

Cell and atoms, written as POSCAR:
```
NpZnP2
1.0
4.323 0.000 0.000
0.000 4.323 0.000
0.000 0.000 3.561
Np Zn P
1 1 2
direct
0.000 0.000 0.000 Np
0.500 0.500 0.000 Zn
0.000 0.500 0.500 P
0.500 0.000 0.500 P
```